# 1
This record from Alexandria via LeMat-Bulk describes a relaxed KRb2Sn2 crystal. The functional is PBE.

Properties
**E_tot**: -23.09 eV for the cell shown
**DOS at the Fermi energy**: 3.91 states/eV/f.u.
**Distance to the lowest polymorph of the same formula**: 0.148 eV/f.u.
**E_form**: -101 meV per atom

Cell: 9.3578 9.3578 5.6615 Å, 90.00 90.00 90.00°
With the nearest neighbours (Å) after each atom.
Sites, in units of the cell vectors:
K 0.0000 0.0000 0.0000  4 Sn 3.84
K 0.5000 0.5000 0.0000  4 Sn 3.84
Rb 0.1782 0.3218 0.5000  6 Sn 3.93-4.05
Rb 0.3218 0.8218 0.5000  6 Sn 3.93-4.05
Rb 0.6782 0.1782 0.5000  6 Sn 3.93-4.05
Rb 0.8218 0.6782 0.5000  6 Sn 3.93-4.05
Sn 0.1032 0.6032 0.0000  1 Sn 2.73
Sn 0.3968 0.1032 0.0000  1 Sn 2.73
Sn 0.6032 0.8968 0.0000  1 Sn 2.73
Sn 0.8968 0.3968 0.0000  1 Sn 2.73



# 2
This record from Alexandria via LeMat-Bulk describes a relaxed LiLaP2 crystal. The functional is PBE.

Properties
**E_tot**: -20.63 eV for the cell shown
**DOS at the Fermi energy**: 1.97 states/eV/f.u.
**Distance to the lowest polymorph of the same formula**: 0.678 eV/f.u.
**E_form**: -743 meV per atom

Cell: 3.5711 3.5711 5.9362 Å, 90.00 90.00 90.00°
With the nearest neighbours (Å) after each atom.
Sites, in units of the cell vectors:
Li 0.0000 0.0000 0.0000  8 P 2.76, 2 La 2.97
La 0.0000 0.0000 0.5000  2 Li 2.97, 8 P 3.13
P 0.5000 0.5000 0.1873  1 P 2.22
P 0.5000 0.5000 0.8127  1 P 2.22



# 3
This record from Alexandria via LeMat-Bulk describes a relaxed Pr3YRh crystal. The functional is PBE.

Properties
**E_tot**: -28.63 eV for the cell shown
**DOS at the Fermi energy**: 9.84 states/eV/f.u.
**Distance to the lowest polymorph of the same formula**: 0.593 eV/f.u.
**E_form**: -96 meV per atom

Cell: 5.6080 5.6080 5.6080 Å, 90.00 90.00 90.00°
With the nearest neighbours (Å) after each atom.
Sites, in units of the cell vectors:
Pr 0.0000 0.0000 0.5000  2 Rh 2.80
Pr 0.0000 0.5000 0.0000  2 Rh 2.80
Pr 0.5000 0.0000 0.0000  2 Rh 2.80
Y 0.5000 0.5000 0.5000  12 Pr 3.97
Rh 0.0000 0.0000 0.0000  6 Pr 2.80



# 4
This record from Alexandria via LeMat-Bulk describes a relaxed InTeRuN2 crystal. The functional is PBE.

Properties
**E_tot**: -27.67 eV for the cell shown
**DOS at the Fermi energy**: 2.65 states/eV/f.u.
**Energy relative to the elements, uncorrected**: 0.828 eV per atom
**Distance to the lowest polymorph of the same formula**: 0.000 eV/f.u.

Cell: 4.0209 4.0209 6.0628 Å, 90.00 90.00 90.00°
With the nearest neighbours (Å) after each atom.
Sites, in units of the cell vectors:
In 0.0000 0.0000 0.0000  4 Te 2.84
Te 0.5000 0.5000 0.0000  4 In 2.84, 2 Ru 3.03
Ru 0.5000 0.5000 0.5000  4 N 2.01
N 0.0000 0.5000 0.5000  2 Ru 2.01
N 0.5000 0.0000 0.5000  2 Ru 2.01



# 5
This record from Alexandria via LeMat-Bulk describes a relaxed Tb2Dy2Sc crystal. The functional is PBE.

Properties
**E_tot**: -72.59 eV for the cell shown
**DOS at the Fermi energy**: 9.66 states/eV/f.u.
**Distance to the lowest polymorph of the same formula**: 0.000 eV/f.u.
**E_form**: 120 meV per atom

Cell: 5.5393 5.5393 17.2353 Å, 90.00 90.00 120.00°
With the nearest neighbours (Å) after each atom.
Sites, in units of the cell vectors:
Tb 0.0000 0.0000 0.1076  3 Sc 3.36, 4 Dy 3.51-3.52, 1 Tb 3.71
Tb 0.0000 0.0000 0.8924  3 Sc 3.36, 4 Dy 3.51-3.52, 1 Tb 3.71
Tb 0.3333 0.6667 0.5591  3 Sc 3.36, 4 Dy 3.51-3.52, 1 Tb 3.71
Tb 0.3333 0.6667 0.7742  3 Sc 3.36, 4 Dy 3.51-3.52, 1 Tb 3.71
Tb 0.6667 0.3333 0.2258  3 Sc 3.36, 4 Dy 3.51-3.52, 1 Tb 3.71
Tb 0.6667 0.3333 0.4409  3 Sc 3.36, 4 Dy 3.51-3.52, 1 Tb 3.71
Dy 0.0000 0.0000 0.3110  1 Sc 3.26, 3 Dy 3.29, 4 Tb 3.51-3.52
Dy 0.0000 0.0000 0.6890  1 Sc 3.26, 3 Dy 3.29, 4 Tb 3.51-3.52
Dy 0.3333 0.6667 0.3556  1 Sc 3.26, 3 Dy 3.29, 4 Tb 3.51-3.52
Dy 0.3333 0.6667 0.9777  1 Sc 3.26, 3 Dy 3.29, 4 Tb 3.51-3.52
Dy 0.6667 0.3333 0.0223  1 Sc 3.26, 3 Dy 3.29, 4 Tb 3.51-3.52
Dy 0.6667 0.3333 0.6444  1 Sc 3.26, 3 Dy 3.29, 4 Tb 3.51-3.52
Sc 0.0000 0.0000 0.5000  2 Dy 3.26, 6 Tb 3.36
Sc 0.3333 0.6667 0.1667  2 Dy 3.26, 6 Tb 3.36
Sc 0.6667 0.3333 0.8333  2 Dy 3.26, 6 Tb 3.36



# 6
This record from Alexandria via LeMat-Bulk describes a relaxed TbNp2S5 crystal. The functional is PBE.

Properties
**E_tot**: -126.51 eV for the cell shown
**DOS at the Fermi energy**: 14.77 states/eV/f.u.
**Energy relative to the elements, uncorrected**: -1.513 eV per atom

Cell: 7.5460 11.7430 3.9254 Å, 90.00 90.00 90.00°
With the nearest neighbours (Å) after each atom.
Sites, in units of the cell vectors:
Tb 0.0000 0.0000 0.0000  6 S 2.67-2.74
Tb 0.5000 0.5000 0.0000  6 S 2.67-2.74
Np 0.0263 0.3228 0.5000  8 S 2.78-2.96
Np 0.4737 0.8228 0.5000  8 S 2.78-2.96
Np 0.5263 0.1772 0.5000  8 S 2.78-2.96
Np 0.9737 0.6772 0.5000  8 S 2.78-2.96
S 0.0000 0.5000 0.0000  4 Np 2.87
S 0.1740 0.1062 0.5000  2 Tb 2.67, 2 Np 2.78-2.79
S 0.1823 0.7978 0.0000  1 Tb 2.74, 4 Np 2.89-2.96
S 0.3177 0.2978 0.0000  1 Tb 2.74, 4 Np 2.89-2.96
S 0.3260 0.6062 0.5000  2 Tb 2.67, 2 Np 2.78-2.79
S 0.5000 0.0000 0.0000  4 Np 2.87
S 0.6740 0.3938 0.5000  2 Tb 2.67, 2 Np 2.78-2.79
S 0.6823 0.7022 0.0000  1 Tb 2.74, 4 Np 2.89-2.96
S 0.8177 0.2022 0.0000  1 Tb 2.74, 4 Np 2.89-2.96
S 0.8260 0.8938 0.5000  2 Tb 2.67, 2 Np 2.78-2.79



# 7
This record from Alexandria via LeMat-Bulk describes a relaxed Ac3Tl3GeS8 crystal. The functional is PBE.

Properties
**E_tot**: -74.17 eV for the cell shown
**DOS at the Fermi energy**: 1.16 states/eV/f.u.
**Energy relative to the elements, uncorrected**: -1.140 eV per atom

Cell: 9.0335 9.0335 9.0335 Å, 56.31 56.31 56.31°
With the nearest neighbours (Å) after each atom.
Sites, in units of the cell vectors:
Ac 0.0000 0.5000 0.5000  6 S 2.94-3.03
Ac 0.5000 0.0000 0.5000  6 S 2.94-3.03
Ac 0.5000 0.5000 0.0000  6 S 2.94-3.03
Tl 0.0000 0.0000 0.5000  6 S 3.29
Tl 0.0000 0.5000 0.0000  6 S 3.29
Tl 0.5000 0.0000 0.0000  6 S 3.29
Ge 0.0000 0.0000 0.0000  6 S 2.52
S 0.2038 0.2038 0.7804  1 Ge 2.52
S 0.2038 0.7804 0.2038  1 Ge 2.52
S 0.2196 0.7962 0.7962  1 Ge 2.52
S 0.2625 0.2625 0.2625  3 Ac 2.94, 3 Tl 3.29
S 0.7375 0.7375 0.7375  3 Ac 2.94, 3 Tl 3.29
S 0.7804 0.2038 0.2038  1 Ge 2.52
S 0.7962 0.2196 0.7962  1 Ge 2.52
S 0.7962 0.7962 0.2196  1 Ge 2.52



# 8
This record from Alexandria via LeMat-Bulk describes a relaxed CsCuPdAu2 crystal. The functional is PBE.

Properties
**E_tot**: -8.85 eV for the cell shown
**DOS at the Fermi energy**: 1.49 states/eV/f.u.
**E_form**: 1570 meV per atom

Cell: 6.1547 6.1547 5.2597 Å, 90.00 90.00 90.00°
With the nearest neighbours (Å) after each atom.
Sites, in units of the cell vectors:
Cs 0.0000 0.0000 0.0000  2 Pd 2.63
Cu 0.5000 0.5000 0.5000  8 Au 4.05, 4 Pd 4.35
Pd 0.0000 0.0000 0.5000  2 Cs 2.63
Au 0.0000 0.5000 0.0000  2 Cs 3.08
Au 0.5000 0.0000 0.0000  2 Cs 3.08



# 9
This record from Alexandria via LeMat-Bulk describes a relaxed HfNpSc crystal. The functional is PBE.

Properties
**E_tot**: -111.10 eV for the cell shown
**DOS at the Fermi energy**: 5.66 states/eV/f.u.
**E_form**: 483 meV per atom

Cell: 7.9335 7.9335 7.9335 Å, 95.62 95.62 143.53°
With the nearest neighbours (Å) after each atom.
Sites, in units of the cell vectors:
Hf 0.0000 0.2175 0.2175  4 Np 3.06-3.25, 4 Sc 3.14, 2 Hf 3.28
Hf 0.0000 0.7825 0.7825  4 Np 3.06-3.25, 4 Sc 3.14, 2 Hf 3.28
Hf 0.2175 0.0000 0.2175  4 Np 3.06-3.25, 4 Sc 3.14, 2 Hf 3.28
Hf 0.7825 0.0000 0.7825  4 Np 3.06-3.25, 4 Sc 3.14, 2 Hf 3.28
Np 0.1143 0.5000 0.6143  1 Np 2.44
Np 0.5000 0.1143 0.6143  1 Np 2.44
Np 0.5000 0.8857 0.3857  1 Np 2.44
Np 0.8857 0.5000 0.3857  1 Np 2.44
Sc 0.3244 0.3244 0.6488  2 Np 2.92, 4 Hf 3.14
Sc 0.3244 0.6756 0.0000  2 Np 2.92, 4 Hf 3.14
Sc 0.6756 0.3244 0.0000  2 Np 2.92, 4 Hf 3.14
Sc 0.6756 0.6756 0.3512  2 Np 2.92, 4 Hf 3.14



# 10
This record from Alexandria via LeMat-Bulk describes a relaxed TlInW2 crystal. The functional is PBE.

Properties
**E_tot**: -82.16 eV for the cell shown
**DOS at the Fermi energy**: 1.24 states/eV/f.u.
**Distance to the lowest polymorph of the same formula**: 1.507 eV/f.u.
**E_form**: 906 meV per atom

Cell: 3.0029 3.0029 29.1543 Å, 90.00 90.00 120.00°
With the nearest neighbours (Å) after each atom.
Sites, in units of the cell vectors:
Tl 0.0000 0.0000 0.0000  6 Tl 3.00, 6 W 3.01
Tl 0.3333 0.6667 0.6667  6 Tl 3.00, 6 W 3.01
Tl 0.6667 0.3333 0.3333  6 Tl 3.00, 6 W 3.01
In 0.0000 0.0000 0.5000  6 W 2.96, 6 In 3.00
In 0.3333 0.6667 0.1667  6 W 2.96, 6 In 3.00
In 0.6667 0.3333 0.8333  6 W 2.96, 6 In 3.00
W 0.0000 0.0000 0.2490  3 In 2.96, 6 W 3.00, 3 Tl 3.01
W 0.0000 0.0000 0.7510  3 In 2.96, 6 W 3.00, 3 Tl 3.01
W 0.3333 0.6667 0.4176  3 In 2.96, 6 W 3.00, 3 Tl 3.01
W 0.3333 0.6667 0.9157  3 In 2.96, 6 W 3.00, 3 Tl 3.01
W 0.6667 0.3333 0.0843  3 In 2.96, 6 W 3.00, 3 Tl 3.01
W 0.6667 0.3333 0.5824  3 In 2.96, 6 W 3.00, 3 Tl 3.01



# 11
This record from Alexandria via LeMat-Bulk describes a relaxed NaSi3Rh3 crystal. The functional is PBE.

Properties
**E_tot**: -83.96 eV for the cell shown
**DOS at the Fermi energy**: 3.45 states/eV/f.u.
**Energy relative to the elements, uncorrected**: -0.334 eV per atom

Cell: 6.5368 6.5368 6.5368 Å, 90.00 90.00 90.00°
With the nearest neighbours (Å) after each atom.
Sites, in units of the cell vectors:
Na 0.0000 0.0000 0.0000  12 Rh 3.65, 12 Si 3.65
Na 0.5000 0.5000 0.5000  12 Rh 3.65, 12 Si 3.65
Si 0.0000 0.2500 0.5000  4 Rh 2.31
Si 0.0000 0.7500 0.5000  4 Rh 2.31
Si 0.2500 0.5000 0.0000  4 Rh 2.31
Si 0.5000 0.0000 0.2500  4 Rh 2.31
Si 0.5000 0.0000 0.7500  4 Rh 2.31
Si 0.7500 0.5000 0.0000  4 Rh 2.31
Rh 0.0000 0.5000 0.2500  4 Si 2.31
Rh 0.0000 0.5000 0.7500  4 Si 2.31
Rh 0.2500 0.0000 0.5000  4 Si 2.31
Rh 0.5000 0.2500 0.0000  4 Si 2.31
Rh 0.5000 0.7500 0.0000  4 Si 2.31
Rh 0.7500 0.0000 0.5000  4 Si 2.31



# 12
This record from Alexandria via LeMat-Bulk describes a relaxed MgSc2 crystal. The functional is PBE.

Properties
**E_tot**: -54.93 eV for the cell shown
**DOS at the Fermi energy**: 4.74 states/eV/f.u.
**E_form**: 175 meV per atom

Cell: 7.4744 7.4744 5.3072 Å, 90.00 90.00 90.00°
With the nearest neighbours (Å) after each atom.
Sites, in units of the cell vectors:
Mg 0.0000 0.0000 0.2500  2 Mg 2.65
Mg 0.0000 0.0000 0.7500  2 Mg 2.65
Mg 0.5000 0.5000 0.2500  2 Mg 2.65
Mg 0.5000 0.5000 0.7500  2 Mg 2.65
Sc 0.1471 0.3529 0.0000  7 Sc 3.11-3.45, 4 Mg 3.15
Sc 0.1471 0.6471 0.5000  7 Sc 3.11-3.45, 4 Mg 3.15
Sc 0.3529 0.1471 0.5000  7 Sc 3.11-3.45, 4 Mg 3.15
Sc 0.3529 0.8529 0.0000  7 Sc 3.11-3.45, 4 Mg 3.15
Sc 0.6471 0.1471 0.0000  7 Sc 3.11-3.45, 4 Mg 3.15
Sc 0.6471 0.8529 0.5000  7 Sc 3.11-3.45, 4 Mg 3.15
Sc 0.8529 0.3529 0.5000  7 Sc 3.11-3.45, 4 Mg 3.15
Sc 0.8529 0.6471 0.0000  7 Sc 3.11-3.45, 4 Mg 3.15



The lowest DOS at the Fermi energy belongs to which entry?
Ac3Tl3GeS8



Copy entry 10 word for word.
This record from Alexandria via LeMat-Bulk describes a relaxed TlInW2 crystal. The functional is PBE.

Properties
**E_tot**: -82.16 eV for the cell shown
**DOS at the Fermi energy**: 1.24 states/eV/f.u.
**Distance to the lowest polymorph of the same formula**: 1.507 eV/f.u.
**E_form**: 906 meV per atom

Cell: 3.0029 3.0029 29.1543 Å, 90.00 90.00 120.00°
With the nearest neighbours (Å) after each atom.
Sites, in units of the cell vectors:
Tl 0.0000 0.0000 0.0000  6 Tl 3.00, 6 W 3.01
Tl 0.3333 0.6667 0.6667  6 Tl 3.00, 6 W 3.01
Tl 0.6667 0.3333 0.3333  6 Tl 3.00, 6 W 3.01
In 0.0000 0.0000 0.5000  6 W 2.96, 6 In 3.00
In 0.3333 0.6667 0.1667  6 W 2.96, 6 In 3.00
In 0.6667 0.3333 0.8333  6 W 2.96, 6 In 3.00
W 0.0000 0.0000 0.2490  3 In 2.96, 6 W 3.00, 3 Tl 3.01
W 0.0000 0.0000 0.7510  3 In 2.96, 6 W 3.00, 3 Tl 3.01
W 0.3333 0.6667 0.4176  3 In 2.96, 6 W 3.00, 3 Tl 3.01
W 0.3333 0.6667 0.9157  3 In 2.96, 6 W 3.00, 3 Tl 3.01
W 0.6667 0.3333 0.0843  3 In 2.96, 6 W 3.00, 3 Tl 3.01
W 0.6667 0.3333 0.5824  3 In 2.96, 6 W 3.00, 3 Tl 3.01



Which of these has the highest DOS at the Fermi energy?
TbNp2S5



Look up the DOS at the Fermi energy of the third one.
9.84 states/eV/f.u.